A geometry-optimized SiHgBr2 structure, computed with PBE.

Structure (CIF):
```
data_SiHgBr2
_space_group_name_H-M_alt 'P 1'
_space_group_IT_number 1
_cell_length_a 3.775
_cell_length_b 3.699
_cell_length_c 9.826
_cell_angle_alpha 90.00
_cell_angle_beta 99.26
_cell_angle_gamma 90.00
loop_
_space_group_symop_operation_xyz
'x,y,z'
loop_
_atom_site_label
_atom_site_fract_x
_atom_site_fract_y
_atom_site_fract_z
Si1 0.000 0.000 0.000
Hg1 0.000 0.000 0.500
Br1 0.328 0.500 0.173
Br2 0.672 0.500 0.827
```

Summary:
The calculation puts the density of states at the Fermi level at 1.0 states/eV/f.u. As for the formation energy from raw total energies: -0.0075 eV per atom. The calculation puts the energy above the most stable polymorph in this dataset at 0.905 eV per formula unit. As for the magnetization: 0.0 μB per formula unit.